No. 1
A geometry-optimized Tb2Ag2GeO6 structure, computed with PBE.

Cell: 5.7423 10.1649 6.3578 Å, 90.00 98.94 90.00°
With the nearest neighbours (Å) after each atom.
Space group C2/m (No. 12)
One atom of each set of equivalent atoms:
Tb: 0.0000 0.1629 0.0000 [4 per cell]  6 O 2.26-2.33
Ag: 0.0000 0.3508 0.5000 [4 per cell]  2 O 2.10
Ge: 0.0000 0.5000 0.0000 [2 per cell]  6 O 1.88-2.01
O: 0.1105 0.3512 0.8312 [8 per cell]  1 Ge 2.01, 1 Ag 2.10
O: 0.1896 0.0000 0.8529 [4 per cell]  1 Ge 1.88

Calculated values
Total DFT energy (no corrections) ... -6.48 eV/atom

***

No. 2
A geometry-optimized Ac3AgPt structure, computed with PBE.

Cell: 4.3784 9.1674 9.3232 Å, 77.39 89.90 89.97°
With the nearest neighbours (Å) after each atom.
Space group P-1 (No. 2)
One atom of each set of equivalent atoms:
Ac: 0.2494 0.3840 0.3653 [2 per cell]  2 Pt 3.01-3.02
Ac: 0.2493 0.9402 0.3178 [2 per cell]  3 Pt 3.04-3.10
Ac: 0.2503 0.6942 0.9838 [2 per cell]  1 Pt 3.04, 2 Ag 3.33
Ag: 0.2508 0.3301 0.7435 [2 per cell]  7 Ac 3.33-3.45
Pt: 0.2508 0.8364 0.6569 [2 per cell]  6 Ac 3.01-3.10

Calculated values
Formation energy from the elements ... -561 meV per atom
Polymorph energy (0 for the lowest one) ... 0.0165 eV per atom